ZnFeTc2, relaxed, DFT PBE-GGA; E_tot = -7.462 eV/atom; formation energy from the elements = 0.6 eV per formula unit; crystal system = orthorhombic; density of states at the Fermi level = 3.3 states/eV per cell
1.0
2.6100 -0.0047 0.0000
-0.7945 2.4861 0.0000
0.0000 0.0000 8.5802
Fe Tc Zn
1 2 1
Direct
0.5000 0.5000 0.7500
0.0000 0.0000 0.9909
0.0000 0.0000 0.5091
0.5000 0.5000 0.2500